Record 1
## SrLi4Y (PBE)

Data for a relaxed structure of SrLi4Y.

a b c (Å): 6.1547 6.1547 6.1547
angles (deg): 60.00 60.00 60.00
Last column: nearest neighbours and their distance in Å.
Element x y z (fractional)
Sr  0.0000  0.0000  0.0000  12 Li 3.61, 4 Y 3.77
Li  0.3766  0.3766  0.3766  6 Li 3.04-3.12
Li  0.3766  0.3766  0.8701  6 Li 3.04-3.12
Li  0.3766  0.8701  0.3766  6 Li 3.04-3.12
Li  0.8701  0.3766  0.3766  6 Li 3.04-3.12
Y  0.7500  0.7500  0.7500  12 Li 3.60, 4 Sr 3.77

Output
Calculated volume, Å³/cell: 164.85
ΔE_f, eV per atom: 0.11
Space-group type: F-43m (216)



Record 2
## Sr3AgPd (PBE)

Data for a relaxed structure of Sr3AgPd.

a b c (Å): 5.8567 5.8567 5.8567
angles (deg): 90.00 90.00 90.00
Last column: nearest neighbours and their distance in Å.
Element x y z (fractional)
Sr  0.0000  0.0000  0.5000  2 Pd 2.93
Sr  0.0000  0.5000  0.0000  2 Pd 2.93
Sr  0.5000  0.0000  0.0000  2 Pd 2.93
Ag  0.5000  0.5000  0.5000  12 Sr 4.14
Pd  0.0000  0.0000  0.0000  6 Sr 2.93

Output
Energy above the most stable polymorph in this dataset, meV per atom: 167
Calculated volume, Å³/cell: 200.89
ΔE_f, eV per atom: -0.21
Space-group type: Pm-3m (221)



Record 3
## CaBeCo (PBE)

Data for a relaxed structure of CaBeCo.

a b c (Å): 6.3624 6.3624 6.3624
angles (deg): 90.00 90.00 90.00
Last column: nearest neighbours and their distance in Å.
Element x y z (fractional)
Ca  0.0000  0.0000  0.0000  4 Co 2.76, 4 Be 2.76
Ca  0.0000  0.5000  0.5000  4 Co 2.76, 4 Be 2.76
Ca  0.5000  0.0000  0.5000  4 Co 2.76, 4 Be 2.76
Ca  0.5000  0.5000  0.0000  4 Co 2.76, 4 Be 2.76
Be  0.2500  0.2500  0.7500  4 Ca 2.76
Be  0.2500  0.7500  0.2500  4 Ca 2.76
Be  0.7500  0.2500  0.2500  4 Ca 2.76
Be  0.7500  0.7500  0.7500  4 Ca 2.76
Co  0.2500  0.2500  0.2500  4 Ca 2.76
Co  0.2500  0.7500  0.7500  4 Ca 2.76
Co  0.7500  0.2500  0.7500  4 Ca 2.76
Co  0.7500  0.7500  0.2500  4 Ca 2.76

Output
Energy above the most stable polymorph in this dataset, meV per atom: 1211
Calculated volume, Å³/cell: 257.55
ΔE_f, eV per atom: 1.38
Space-group type: F-43m (216)



Record 4
## LaSmI2N (PBE)

Data for a relaxed structure of LaSmI2N.

a b c (Å): 4.3823 4.3823 15.7800
angles (deg): 90.00 90.00 90.00
Last column: nearest neighbours and their distance in Å.
Element x y z (fractional)
La  0.2500  0.2500  0.0858  6 I 3.17-3.37
La  0.7500  0.7500  0.9142  6 I 3.17-3.37
Sm  0.2500  0.2500  0.5574  4 N 2.37
Sm  0.7500  0.7500  0.4426  4 N 2.37
I  0.2500  0.2500  0.2900  1 La 3.22
I  0.2500  0.2500  0.8725  5 La 3.17-3.37
I  0.7500  0.7500  0.1275  5 La 3.17-3.37
I  0.7500  0.7500  0.7100  1 La 3.22
N  0.2500  0.7500  0.5000  4 Sm 2.37
N  0.7500  0.2500  0.5000  4 Sm 2.37

Output
Formation energy without anion corrections, eV per atom: -1.176
Calculated volume, Å³/cell: 303.05
Space-group type: P4/nmm (129)



The records above give, respectively, total energy values of -15.12 -14.15 -8.71 -26.95 eV/f.u..